The following is a GGA+U calculation of a relaxed TaVO2 crystal, from the Alexandria database.

Geometry as POSCAR:
```
TaVO2
1.0
4.037 0.000 0.000
0.000 4.037 0.000
2.018 2.018 6.140
Ta O V
2 4 2
direct
0.000 0.000 0.000
0.750 0.250 0.500
0.642 0.125 0.250
0.108 0.625 0.250
0.375 0.358 0.750
0.875 0.892 0.750
0.500 0.500 0.000
0.250 0.750 0.500
```

Output
Energy above the lowest structure with this stoichiometry, meV per atom: 457
SG: I-42d